[1]
The following is a PBE-GGA calculation of a relaxed structure of Sr2MgPtI, from Alexandria. Values from VASP.

```
&SYSTEM
  ibrav = 0, nat = 5, ntyp = 4
/
ATOMIC_SPECIES
Sr 87.62 Sr.upf
Mg 24.30 Mg.upf
Pt 195.08 Pt.upf
I 126.90 I.upf
ATOMIC_POSITIONS crystal
Sr 0.000 0.500 0.000
Sr 0.500 0.000 0.000
Mg 0.000 0.000 0.500
Pt 0.000 0.000 0.000
I 0.500 0.500 0.500
CELL_PARAMETERS angstrom
5.955 0.000 0.000
0.000 5.955 0.000
0.000 0.000 5.101
```

Summary:
uncorrected formation energy	-17.61	kcal/mol of atoms
total magnetic moment	0.00	μB per formula unit

=====

[2]
The following is a PBE-GGA calculation of a relaxed structure of CsBe3Se, from Alexandria. Values from VASP.

```
&SYSTEM
  ibrav = 0, nat = 5, ntyp = 3
/
ATOMIC_SPECIES
Cs 132.91 Cs.upf
Be 9.01 Be.upf
Se 78.96 Se.upf
ATOMIC_POSITIONS crystal
Cs 0.000 0.000 0.000
Be 0.000 0.000 0.500
Be 0.000 0.500 0.000
Be 0.500 0.000 0.000
Se 0.500 0.500 0.500
CELL_PARAMETERS angstrom
6.249 0.000 0.000
0.000 6.249 0.000
0.000 0.000 6.249
```

Summary:
ΔE to the lowest computed polymorph	1189	meV per atom
uncorrected formation energy	54.86	kcal/mol of atoms
total magnetic moment	0.00	μB per formula unit

=====

[3]
The following is a PBE-GGA calculation of a relaxed structure of Cd3Ag3Au4, from Alexandria. Values from VASP.

```
&SYSTEM
  ibrav = 0, nat = 10, ntyp = 3
/
ATOMIC_SPECIES
Cd 112.41 Cd.upf
Ag 107.87 Ag.upf
Au 196.97 Au.upf
ATOMIC_POSITIONS crystal
Cd 0.000 0.000 0.000
Cd 0.000 0.174 0.506
Cd 0.000 0.506 0.174
Ag 0.000 0.675 0.675
Ag 0.500 0.339 0.836
Ag 0.500 0.836 0.339
Au 0.500 0.201 0.201
Au 0.500 0.476 0.476
Au 0.500 0.701 0.972
Au 0.500 0.972 0.701
CELL_PARAMETERS angstrom
3.715 0.000 0.000
0.000 5.251 5.178
0.000 -5.251 5.178
```

Summary:
calculated formation energy	-0.05	eV/atom
total magnetic moment	0.00	μB per formula unit

=====

[4]
The following is a PBE-GGA calculation of a relaxed structure of NaSrLi2, from Alexandria. Values from VASP.

```
&SYSTEM
  ibrav = 0, nat = 4, ntyp = 3
/
ATOMIC_SPECIES
Na 22.99 Na.upf
Sr 87.62 Sr.upf
Li 6.94 Li.upf
ATOMIC_POSITIONS crystal
Na 0.000 0.000 0.000
Sr 0.500 0.500 0.500
Li 0.250 0.250 0.250
Li 0.750 0.750 0.750
CELL_PARAMETERS angstrom
0.000 4.080 4.080
4.080 0.000 4.080
4.080 4.080 0.000
```

Summary:
calculated formation energy	0.09	eV/atom
ΔE to the lowest computed polymorph	25	meV per atom
total magnetic moment	0.00	μB per formula unit

=====

[5]
The following is a PBE-GGA calculation of a relaxed structure of NdGe4Pd12, from Alexandria. Values from VASP.

```
&SYSTEM
  ibrav = 0, nat = 17, ntyp = 3
/
ATOMIC_SPECIES
Nd 144.24 Nd.upf
Ge 72.64 Ge.upf
Pd 106.42 Pd.upf
ATOMIC_POSITIONS crystal
Nd 0.000 0.000 0.000
Ge 0.000 0.000 0.500
Ge 0.000 0.500 0.000
Ge 0.500 0.000 0.000
Ge 0.500 0.500 0.500
Pd 0.161 0.344 0.505
Pd 0.161 0.656 0.817
Pd 0.183 0.839 0.344
Pd 0.344 0.183 0.839
Pd 0.344 0.505 0.161
Pd 0.495 0.839 0.656
Pd 0.505 0.161 0.344
Pd 0.656 0.495 0.839
Pd 0.656 0.817 0.161
Pd 0.817 0.161 0.656
Pd 0.839 0.344 0.183
Pd 0.839 0.656 0.495
CELL_PARAMETERS angstrom
-4.274 4.274 4.274
4.274 -4.274 4.274
4.274 4.274 -4.274
```

Summary:
calculated formation energy	-0.30	eV/atom
total magnetic moment	0.00	μB per formula unit

=====

[6]
The following is a PBE-GGA calculation of a relaxed structure of AgH3Rh2, from Alexandria. Values from VASP.

```
&SYSTEM
  ibrav = 0, nat = 12, ntyp = 3
/
ATOMIC_SPECIES
Ag 107.87 Ag.upf
H 1.01 H.upf
Rh 102.91 Rh.upf
ATOMIC_POSITIONS crystal
Ag 0.000 0.000 0.250
Ag 0.000 0.000 0.750
H 0.016 0.489 0.250
H 0.489 0.016 0.750
H 0.493 0.507 0.750
H 0.507 0.493 0.250
H 0.511 0.984 0.250
H 0.984 0.511 0.750
Rh 0.333 0.333 0.000
Rh 0.333 0.333 0.500
Rh 0.667 0.667 0.000
Rh 0.667 0.667 0.500
CELL_PARAMETERS angstrom
4.111 -2.374 0.000
4.111 2.374 0.000
0.000 0.000 5.578
```

Summary:
total magnetic moment	0.00	μB per formula unit
calculated total energy	-4.52	eV per atom

=====

[7]
The following is a PBE-GGA calculation of a relaxed structure of Pr6Te3AsRh2, from Alexandria. Values from VASP.

```
&SYSTEM
  ibrav = 0, nat = 12, ntyp = 4
/
ATOMIC_SPECIES
Pr 140.91 Pr.upf
Te 127.60 Te.upf
As 74.92 As.upf
Rh 102.91 Rh.upf
ATOMIC_POSITIONS crystal
Pr 0.087 0.430 0.784
Pr 0.228 0.228 0.214
Pr 0.430 0.087 0.784
Pr 0.570 0.913 0.216
Pr 0.772 0.772 0.786
Pr 0.913 0.570 0.216
Te 0.000 0.000 0.500
Te 0.338 0.662 0.500
Te 0.662 0.338 0.500
As 0.500 0.500 0.000
Rh 0.168 0.832 0.000
Rh 0.832 0.168 0.000
CELL_PARAMETERS angstrom
3.746 -6.486 0.000
3.746 6.486 0.000
-2.534 0.000 7.467
```

Summary:
uncorrected formation energy	-26.59	kcal/mol of atoms
total magnetic moment	0.00	μB per formula unit

=====

[8]
The following is a PBE-GGA calculation of a relaxed structure of InCo2W, from Alexandria. Values from VASP.

```
&SYSTEM
  ibrav = 0, nat = 4, ntyp = 3
/
ATOMIC_SPECIES
In 114.82 In.upf
Co 58.93 Co.upf
W 183.84 W.upf
ATOMIC_POSITIONS crystal
In 0.000 0.000 0.000
Co 0.517 0.517 0.000
Co 0.735 0.235 0.500
W 0.285 0.785 0.500
CELL_PARAMETERS angstrom
-1.386 2.207 4.671
1.386 -2.207 4.671
1.386 2.207 -4.671
```

Summary:
calculated formation energy	0.34	eV/atom
total magnetic moment	0.40	μB per formula unit